Computed, not measured: a geometry-optimized TaNbAs2Se structure at the PBE level of DFT.

```
5
Lattice="4.954 0.000 0.000 0.000 4.954 0.000 0.000 0.000 4.936" Properties=species:S:1:pos:R:3 pbc="T T T"
Ta 0.000 0.000 0.000
Nb 2.477 2.477 2.468
As 0.000 2.477 2.468
As 2.477 0.000 2.468
Se 2.477 2.477 0.000
```

Summary:
formation energy from raw total energies	4.5	eV/f.u.
DOS at the Fermi energy	0.810	states/eV per atom
energy above the lowest structure with this stoichiometry	246	meV per atom
density	6.89	g/cm³
space group	P4/mmm (123)
total moment	2.43	μB/f.u.

***

Computed, not measured: a geometry-optimized TaNbAsSe2 structure at the PBE level of DFT.

```
5
Lattice="4.957 0.000 0.000 0.000 4.957 0.000 0.000 0.000 5.022" Properties=species:S:1:pos:R:3 pbc="T T T"
Ta 0.000 0.000 0.000
Nb 2.478 2.478 2.511
As 0.000 0.000 2.511
Se 0.000 2.478 0.000
Se 2.478 0.000 0.000
```

Summary:
formation energy from raw total energies	2.7	eV/f.u.
DOS at the Fermi energy	1.037	states/eV per atom
energy above the lowest structure with this stoichiometry	0	meV per atom
density	6.82	g/cm³
space group	P4/mmm (123)
total moment	2.84	μB/f.u.

***

Computed, not measured: a geometry-optimized TaNbAs2Se structure at the PBE level of DFT.

```
5
Lattice="4.964 0.000 0.000 0.000 4.964 0.000 0.000 0.000 4.958" Properties=species:S:1:pos:R:3 pbc="T T T"
Ta 0.000 0.000 0.000
Nb 2.482 2.482 2.479
As 0.000 2.482 0.000
As 2.482 0.000 0.000
Se 0.000 0.000 2.479
```

Summary:
formation energy from raw total energies	3.2	eV/f.u.
DOS at the Fermi energy	0.657	states/eV per atom
energy above the lowest structure with this stoichiometry	0	meV per atom
density	6.83	g/cm³
space group	P4/mmm (123)
total moment	2.57	μB/f.u.